## 1
The following is a PBE calculation of an optimized crystal structure of LaNiC, from Alexandria via LeMat-Bulk.

Structure (POSCAR):
```
LaNiC
1.0
3.699 0.000 0.000
0.000 4.478 0.003
0.000 -2.239 6.290
Ni C La
2 2 2
Cartesian
3.186 3.953 0.370
3.186 -0.526 2.743
3.186 1.030 1.557
3.186 2.397 1.558
1.336 -0.524 5.930
1.336 1.712 3.475
```

DOS at the Fermi energy: 3.18 states/eV/cell

## 2
The following is a PBE calculation of an optimized crystal structure of LaNiC, from Alexandria via LeMat-Bulk.

Structure (POSCAR):
```
LaNiC
1.0
-3.342 -1.209 -2.446
0.830 -3.469 1.845
-6.893 1.704 1.984
C La Ni
2 2 2
Cartesian
-3.007 0.029 0.776
-1.789 -0.354 0.439
-2.005 -3.148 -0.117
-5.303 -1.855 0.731
-7.099 0.723 1.691
-4.590 0.655 1.507
```

DOS at the Fermi energy: 3.16 states/eV/cell

The least stable of them is 1.

## 1
The following is a PBE calculation of an optimized crystal structure of La2ReNiC, from Alexandria via LeMat-Bulk.

Structure (POSCAR):
```
La2ReNiC
1.0
5.497 0.000 0.000
0.000 3.976 0.000
0.000 0.000 5.497
Re Ni C La
1 1 1 2
Cartesian
0.000 0.000 0.000
2.748 1.988 2.748
0.000 1.988 0.000
0.000 0.000 2.748
2.748 0.000 0.000
```

DOS at the Fermi energy: 3.56 states/eV/cell

## 2
The following is a PBE calculation of an optimized crystal structure of La2ReNiC, from Alexandria via LeMat-Bulk.

Structure (POSCAR):
```
La2ReNiC
1.0
5.358 0.000 0.000
0.000 4.364 0.000
0.000 0.000 5.358
La Ni C Re
2 1 1 1
Cartesian
0.000 0.000 2.679
2.679 0.000 0.000
0.000 0.000 0.000
2.679 2.182 2.679
0.000 2.182 0.000
```

DOS at the Fermi energy: 5.48 states/eV/cell

The least stable of them is 2.